The following is a PBE with a Hubbard U calculation of a geometry-optimized VZnN2F structure, from Alexandria via LeMat-Bulk.

The magnetic moment comes out at 0.00 μB/atom. For the energy relative to the lowest polymorph listed for this composition, the calculation gives 0 meV per atom.

It has space group P4/mmm (No. 123), with a = 3.843 Å, b = 3.843 Å, c = 3.855 Å, α = 90.00°, β = 90.00° and γ = 90.00°. The inequivalent atoms are V at (0.000, 0.000, 0.000), Zn at (0.500, 0.500, 0.500), N at (0.000, 0.500, 0.000) and F at (0.000, 0.000, 0.500).